Crystalline SrLi2VCl6 at its relaxed geometry, computed with GGA-PBE.

- Calculated density: 2.626 g/cm³
- Uncorrected energy: -4.3296 eV/atom
- Uncorrected formation energy: -17.6 eV/f.u.

Geometry as extended XYZ:
```
10
Lattice="-3.963 -0.495 5.282 -0.688 -5.816 3.092 3.125 -0.721 6.428" Properties=species:S:1:pos:R:3 pbc="T T T"
Sr -2.019 -5.533 10.420
Li -1.132 -3.626 7.115
Li 2.967 -0.768 6.307
V -1.429 -2.067 2.885
Cl -1.720 -1.910 5.399
Cl -0.868 -5.690 5.737
Cl -3.318 -4.017 8.252
Cl 0.455 -4.937 9.128
Cl -0.549 -1.724 9.201
Cl 1.604 -2.762 6.827
```


Crystalline DyAlGa2Au5 at its relaxed geometry, computed with GGA-PBE.

- Calculated density: 11.314 g/cm³
- Energy of formation: -254 meV/atom
- Uncorrected energy: -3.6745 eV/atom

Geometry as extended XYZ:
```
9
Lattice="4.764 0.000 0.000 0.000 5.937 0.000 -2.382 -2.969 6.817" Properties=species:S:1:pos:R:3 pbc="T T T"
Dy 0.000 2.969 0.000
Al 2.382 0.000 0.000
Ga 0.000 0.000 2.582
Ga 2.382 2.969 4.235
Au 2.382 4.366 2.028
Au 0.000 -1.398 4.789
Au 0.000 1.398 4.789
Au 2.382 1.571 2.028
Au 0.000 0.000 0.000
```


Crystalline Pa4TcTeSe2 at its relaxed geometry, computed with GGA-PBE.

- Calculated density: 10.782 g/cm³
- Uncorrected energy: -8.0728 eV/atom
- Uncorrected formation energy: -6.1 eV/f.u.

Geometry as extended XYZ:
```
8
Lattice="3.980 0.000 0.000 0.000 7.399 0.288 0.000 -2.428 6.745" Properties=species:S:1:pos:R:3 pbc="T T T"
Pa 1.990 1.444 1.797
Pa 1.990 3.526 5.235
Pa 0.000 0.233 5.253
Pa 0.000 4.738 1.779
Tc 1.990 3.700 0.144
Te 0.000 0.000 0.000
Se 1.990 -1.214 3.372
Se 0.000 2.485 3.516
```


Crystalline SbIrPb at its relaxed geometry, computed with GGA-PBE.

- Calculated density: 11.961 g/cm³
- Uncorrected energy: -5.4875 eV/atom
- Uncorrected formation energy: 0.2 eV/f.u.

Geometry as extended XYZ:
```
3
Lattice="7.012 0.024 -0.001 5.427 4.440 0.001 -6.300 -2.008 2.334" Properties=species:S:1:pos:R:3 pbc="T T T"
Ir 0.183 0.066 0.000
Pb 4.505 1.616 0.000
Sb 7.752 2.782 0.000
```


Crystalline PuPbS2O8 at its relaxed geometry, computed with GGA-PBE.

- Calculated density: 5.243 g/cm³
- Uncorrected energy: -7.0802 eV/atom
- Uncorrected formation energy: -19.0 eV/f.u.

Geometry as extended XYZ:
```
12
Lattice="-4.505 -2.989 1.195 4.894 -2.507 -0.650 1.427 0.843 7.493" Properties=species:S:1:pos:R:3 pbc="T T T"
Pu 0.000 0.000 0.000
Pb 0.714 0.422 3.746
S 2.782 -2.064 5.328
S -0.966 -2.589 2.710
O 2.103 -0.830 5.852
O 4.261 -1.936 5.566
O 2.274 -3.254 6.092
O -0.458 -1.399 1.945
O -0.693 -2.427 4.145
O 2.509 -2.226 3.893
O -0.287 -3.822 2.185
O -2.445 -2.717 2.472
```


Crystalline TbEr2Ag at its relaxed geometry, computed with GGA-PBE.

- Calculated density: 8.772 g/cm³
- Energy of formation: -76 meV/atom
- Uncorrected energy: -4.2275 eV/atom
- ΔE to the lowest computed polymorph: 61 meV per atom

Geometry as extended XYZ:
```
8
Lattice="-2.109 2.208 -3.736 -4.034 -2.940 3.647 -0.883 6.864 4.556" Properties=species:S:1:pos:R:3 pbc="T T T"
Tb -5.837 1.174 0.866
Tb -1.189 4.958 3.601
Er -4.106 2.435 3.751
Er -2.920 3.698 0.716
Er -4.468 5.246 5.617
Er -2.558 0.886 -1.151
Ag -4.559 5.227 2.542
Ag -2.467 0.906 1.924
```


Crystalline ZrInMoAs2 at its relaxed geometry, computed with GGA-PBE.

- Calculated density: 5.411 g/cm³
- Energy of formation: 1599 meV/atom
- Uncorrected energy: -4.6839 eV/atom

Geometry as extended XYZ:
```
5
Lattice="-3.691 -2.544 -2.377 2.556 -4.635 0.992 -2.514 -0.448 4.385" Properties=species:S:1:pos:R:3 pbc="T T T"
Mo -1.825 -3.814 1.500
As -1.257 -0.224 2.192
As -1.846 -1.272 -1.188
Zr 1.278 -2.318 0.496
In 0.000 0.000 0.000
```


Crystalline ZrNb2InRe at its relaxed geometry, computed with GGA-PBE.

- Calculated density: 7.989 g/cm³
- Energy of formation: 993 meV/atom
- Uncorrected energy: -7.7816 eV/atom

Geometry as extended XYZ:
```
5
Lattice="-3.948 -2.778 0.597 1.387 -2.828 -3.985 2.512 -2.934 2.956" Properties=species:S:1:pos:R:3 pbc="T T T"
Re 0.000 0.000 0.000
Nb 1.256 -1.467 1.478
Nb -1.974 -1.389 0.299
Zr -0.025 -4.270 -0.216
In 0.693 -1.414 -1.992
```


Crystalline Sm3Ho2In7 at its relaxed geometry, computed with GGA-PBE.

- Calculated density: 7.552 g/cm³
- Energy of formation: -242 meV/atom
- Uncorrected energy: -3.7818 eV/atom

Geometry as extended XYZ:
```
12
Lattice="-2.166 4.068 1.444 -4.012 -1.291 -2.382 -2.984 -6.336 13.376" Properties=species:S:1:pos:R:3 pbc="T T T"
Sm -3.089 1.389 -0.469
Sm -4.587 -0.708 3.190
Sm -4.574 -2.851 9.248
Ho -5.433 -5.441 7.179
Ho -1.562 -2.186 3.815
In -4.214 -5.896 10.290
In -4.265 -3.806 4.325
In 0.000 0.000 0.000
In -2.782 -1.731 0.704
In -1.868 0.936 2.638
In -7.294 -4.495 9.800
In -2.731 -3.821 6.669
```


Crystalline Er6CoPt2 at its relaxed geometry, computed with GGA-PBE.

- Calculated density: 10.709 g/cm³
- Energy of formation: -687 meV/atom
- Uncorrected energy: -5.8609 eV/atom

Geometry as extended XYZ:
```
18
Lattice="-3.564 -2.285 -4.925 5.133 -4.909 -1.437 -4.331 -6.235 5.833" Properties=species:S:1:pos:R:3 pbc="T T T"
Er 0.821 -8.243 -4.163
Er -1.886 -8.754 -1.770
Er -3.540 -11.045 0.363
Er -3.923 -5.924 -0.226
Er -5.516 -8.273 1.890
Er -0.995 -5.320 -2.362
Er -3.582 -5.187 3.634
Er -0.876 -4.676 1.242
Er 0.778 -2.385 -0.891
Er 1.161 -7.505 -0.302
Er 2.755 -5.157 -2.419
Er -1.767 -8.110 1.833
Co 0.785 -3.597 -3.181
Co -2.165 -3.118 2.917
Pt -4.638 -8.703 -0.886
Pt -0.690 -10.307 0.426
Pt -2.072 -3.123 -0.954
Pt 1.877 -4.726 0.358
```


Crystalline Pm3NiBr at its relaxed geometry, computed with GGA-PBE.

- Calculated density: 6.410 g/cm³
- Uncorrected energy: -4.8337 eV/atom
- Uncorrected formation energy: -2.5 eV/f.u.

Geometry as extended XYZ:
```
10
Lattice="3.788 0.000 0.000 0.000 9.852 0.000 0.000 0.000 7.962" Properties=species:S:1:pos:R:3 pbc="T T T"
Pm 0.947 4.214 1.361
Pm 2.841 5.638 6.601
Pm 0.947 0.712 1.361
Pm 2.841 9.140 6.601
Pm 0.947 2.463 6.083
Pm 2.841 7.389 1.879
Ni 2.841 2.463 0.035
Ni 0.947 7.389 7.927
Br 2.841 2.463 3.539
Br 0.947 7.389 4.423
```


Crystalline Ba2SrTb at its relaxed geometry, computed with GGA-PBE.

- Calculated density: 4.397 g/cm³
- Energy of formation: 349 meV/atom
- Uncorrected energy: -2.1903 eV/atom
- ΔE to the lowest computed polymorph: 180 meV per atom

Geometry as extended XYZ:
```
4
Lattice="-0.370 0.167 -3.941 2.645 -1.825 -2.317 -7.316 -12.572 -1.837" Properties=species:S:1:pos:R:3 pbc="T T T"
Sr -2.521 -7.115 -4.047
Tb 0.000 0.000 0.000
Ba -5.320 -9.601 -1.898
Ba 0.278 -4.629 -6.196
```


Crystalline Be3NCl at its relaxed geometry, computed with GGA-PBE.

- Calculated density: 2.037 g/cm³
- Uncorrected energy: -2.2719 eV/atom
- Uncorrected formation energy: 10.0 eV/f.u.
- ΔE to the lowest computed polymorph: 1653 meV per atom

Geometry as extended XYZ:
```
5
Lattice="3.966 0.000 0.000 0.000 3.966 0.000 0.000 0.000 3.966" Properties=species:S:1:pos:R:3 pbc="T T T"
Be 0.000 1.983 0.000
Be 0.000 0.000 1.983
Be 1.983 0.000 0.000
N 1.983 1.983 1.983
Cl 0.000 0.000 0.000
```


Crystalline La2Pr3 at its relaxed geometry, computed with GGA-PBE.

- Calculated density: 6.364 g/cm³
- Energy of formation: 9 meV/atom
- Uncorrected energy: -4.8298 eV/atom
- ΔE to the lowest computed polymorph: 0 meV per atom

Geometry as extended XYZ:
```
5
Lattice="-2.349 -1.104 2.676 1.264 -0.615 3.453 -3.095 13.929 5.628" Properties=species:S:1:pos:R:3 pbc="T T T"
La -0.634 0.874 2.401
La -3.546 11.336 9.356
Pr -2.271 9.555 4.546
Pr -2.090 6.105 5.878
Pr -1.910 2.655 7.210
```


Crystalline ZrZnIn2 at its relaxed geometry, computed with GGA-PBE.

- Calculated density: 7.308 g/cm³
- Energy of formation: -26 meV/atom
- Uncorrected energy: -3.8510 eV/atom

Geometry as extended XYZ:
```
4
Lattice="-4.954 5.819 -6.304 -7.173 3.518 -5.859 -6.949 5.969 -3.771" Properties=species:S:1:pos:R:3 pbc="T T T"
In -18.986 15.235 -15.859
In -9.627 7.725 -8.042
Zn -4.769 3.827 -3.983
Zr -14.307 11.480 -11.950
```


Crystalline Ba2PuPN5 at its relaxed geometry, computed with GGA-PBE.

- Calculated density: 6.622 g/cm³
- Uncorrected energy: -7.8635 eV/atom
- Uncorrected formation energy: -5.6 eV/f.u.

Geometry as extended XYZ:
```
18
Lattice="3.494 0.000 0.000 -1.747 7.447 0.000 0.000 0.000 11.942" Properties=species:S:1:pos:R:3 pbc="T T T"
Ba 1.747 5.376 9.937
Ba 0.000 1.547 7.977
Ba 0.000 2.071 3.966
Ba 1.747 5.900 2.006
Pu 1.747 4.571 6.389
Pu 0.000 2.877 0.418
P 1.747 0.902 10.954
P 0.000 6.545 4.983
N 0.000 4.780 0.159
N 1.747 2.548 10.832
N 1.747 0.018 9.659
N 0.000 4.426 7.678
N 1.747 6.773 5.965
N 1.747 2.667 6.130
N 0.000 4.899 4.861
N 0.000 7.430 3.688
N 1.747 3.022 1.707
N 0.000 0.674 11.937
```


Crystalline HfV2P at its relaxed geometry, computed with GGA-PBE.

- Calculated density: 8.617 g/cm³
- Energy of formation: -791 meV/atom
- Uncorrected energy: -9.1908 eV/atom

Geometry as extended XYZ:
```
8
Lattice="3.364 0.000 0.000 -1.682 4.789 0.000 0.000 0.000 7.448" Properties=species:S:1:pos:R:3 pbc="T T T"
Hf 1.682 4.410 1.862
Hf 0.000 0.379 5.586
V 0.000 3.304 4.113
V 1.682 1.486 3.335
V 0.000 3.304 7.059
V 1.682 1.486 0.389
P 1.682 2.444 5.586
P 0.000 2.345 1.862
```


Crystalline Pm12Er2In at its relaxed geometry, computed with GGA-PBE.

- Calculated density: 6.884 g/cm³
- Energy of formation: 242 meV/atom
- Uncorrected energy: -4.3494 eV/atom

Geometry as extended XYZ:
```
30
Lattice="-4.829 -4.275 -1.699 3.450 -4.995 2.762 -10.833 3.989 20.749" Properties=species:S:1:pos:R:3 pbc="T T T"
Pm -9.353 -1.445 17.125
Pm -8.663 3.190 16.594
Pm -10.893 -3.330 19.616
Pm -8.457 -1.224 20.484
Pm -3.550 1.307 6.799
Pm 0.385 -4.418 3.558
Pm -9.003 -2.971 11.243
Pm -4.239 -3.328 7.330
Pm -10.152 1.301 19.113
Pm -2.008 -6.587 2.725
Pm -7.164 -0.001 11.632
Pm -7.348 -1.950 8.337
Pm -7.283 2.682 13.949
Pm -4.358 -0.645 9.647
Pm -1.370 -1.947 2.166
Pm -6.429 -5.160 9.435
Pm -6.472 -4.756 12.907
Pm -2.169 0.799 4.155
Pm -4.633 -1.785 13.296
Pm -7.972 -1.953 14.480
Pm -12.588 -0.805 18.246
Pm -2.859 -3.836 4.686
Pm -3.439 -3.856 10.745
Pm -3.763 -4.116 1.334
Er -5.143 -1.133 4.376
Er -1.003 -1.493 6.606
Er -6.379 0.487 16.904
Er -10.519 0.847 14.673
In -2.415 -2.137 -0.850
In 1.725 -2.498 1.381
```


Crystalline In3AuO at its relaxed geometry, computed with GGA-PBE.

- Calculated density: 6.473 g/cm³
- Uncorrected energy: -2.9963 eV/atom
- Uncorrected formation energy: 1.5 eV/f.u.
- ΔE to the lowest computed polymorph: 502 meV per atom

Geometry as extended XYZ:
```
5
Lattice="5.229 0.000 0.000 0.000 5.229 0.000 0.000 0.000 5.229" Properties=species:S:1:pos:R:3 pbc="T T T"
Au 0.000 0.000 0.000
O 2.615 2.615 2.615
In 0.000 2.615 0.000
In 0.000 0.000 2.615
In 2.615 0.000 0.000
```


Crystalline LaTbTmCd at its relaxed geometry, computed with GGA-PBE.

- Calculated density: 7.993 g/cm³
- Energy of formation: -135 meV/atom
- Uncorrected energy: -3.8710 eV/atom
- ΔE to the lowest computed polymorph: 0 meV per atom

Geometry as extended XYZ:
```
4
Lattice="-2.190 2.703 1.196 -2.939 -2.148 -0.528 0.751 -3.069 8.311" Properties=species:S:1:pos:R:3 pbc="T T T"
La 0.056 -0.230 0.624
Tb -1.974 -2.139 6.877
Tm -2.297 -0.818 3.300
Cd 0.425 -1.736 4.700
```


Crystalline BaLa2Os at its relaxed geometry, computed with GGA-PBE.

- Calculated density: 6.501 g/cm³
- Energy of formation: 94 meV/atom
- Uncorrected energy: -5.6582 eV/atom
- ΔE to the lowest computed polymorph: 143 meV per atom

Geometry as extended XYZ:
```
4
Lattice="4.035 0.000 0.000 0.000 4.430 -0.003 0.000 2.218 8.648" Properties=species:S:1:pos:R:3 pbc="T T T"
Os 0.000 4.156 3.131
Ba 2.017 4.157 6.134
La 0.000 4.150 0.643
La 2.017 1.940 3.058
```


Crystalline NpSb2Pd4 at its relaxed geometry, computed with GGA-PBE.

- Calculated density: 10.910 g/cm³
- Uncorrected energy: -6.3713 eV/atom
- Uncorrected formation energy: -2.6 eV/f.u.
- ΔE to the lowest computed polymorph: 60 meV per atom

Geometry as extended XYZ:
```
7
Lattice="4.347 0.000 1.358 1.961 3.879 1.358 -0.150 -0.092 8.115" Properties=species:S:1:pos:R:3 pbc="T T T"
Np 0.000 0.000 0.000
Sb 4.577 2.815 8.257
Sb 1.582 0.973 2.573
Pd 5.365 3.299 5.736
Pd 0.794 0.488 5.094
Pd 3.541 2.178 3.936
Pd 2.617 1.610 6.894
```


Crystalline Ba2Sr2Pr at its relaxed geometry, computed with GGA-PBE.

- Calculated density: 3.505 g/cm³
- Energy of formation: 399 meV/atom
- Uncorrected energy: -1.9987 eV/atom

Geometry as extended XYZ:
```
5
Lattice="5.020 0.000 -0.717 -0.102 5.019 -0.717 -0.934 -0.954 11.384" Properties=species:S:1:pos:R:3 pbc="T T T"
Ba 1.239 1.264 8.669
Ba 2.744 2.801 1.280
Sr 3.272 0.778 4.975
Sr 0.711 3.287 4.975
Pr 0.000 0.000 0.000
```


Crystalline DyHoPtRh at its relaxed geometry, computed with GGA-PBE.

- Calculated density: 12.625 g/cm³
- Energy of formation: -1060 meV/atom
- Uncorrected energy: -6.7035 eV/atom
- ΔE to the lowest computed polymorph: 12 meV per atom

Geometry as extended XYZ:
```
4
Lattice="-0.340 2.400 4.237 2.840 -1.273 3.761 3.618 2.947 1.433" Properties=species:S:1:pos:R:3 pbc="T T T"
Rh 4.589 3.055 7.074
Ho 3.059 2.036 4.716
Pt 1.530 1.018 2.358
Dy 0.000 0.000 0.000
```


Number 1: total magnetization 3.00 μB per cell. Number 2: total magnetization 0.00 μB per cell. Number 3: total magnetization 0.00 μB per cell. Number 4: total magnetization 0.00 μB per cell. Number 5: total magnetization 5.99 μB per cell. Number 6: total magnetization 0.00 μB per cell. Number 7: total magnetization 3.09 μB per cell. Number 8: total magnetization 0.00 μB per cell. Number 9: total magnetization 0.00 μB per cell. Number 10: total magnetization 0.00 μB per cell. Number 11: total magnetization 0.00 μB per cell. Number 12: total magnetization 0.00 μB per cell. Number 13: total magnetization 0.00 μB per cell. Number 14: total magnetization 0.00 μB per cell. Number 15: total magnetization 0.00 μB per cell. Number 16: total magnetization 3.75 μB per cell. Number 17: total magnetization 0.00 μB per cell. Number 18: total magnetization 0.00 μB per cell. Number 19: total magnetization 0.00 μB per cell. Number 20: total magnetization 0.00 μB per cell. Number 21: total magnetization 0.00 μB per cell. Number 22: total magnetization 4.05 μB per cell. Number 23: total magnetization 0.00 μB per cell. Number 24: total magnetization 0.00 μB per cell.